Compound: ZrTaMn2
Source: Alexandria
Functional: PBE
Structure: relaxed

Geometry as POSCAR:
```
ZrTaMn2
1.0
2.844 0.050 0.000
-0.045 2.844 0.000
0.000 0.000 7.694
Mn Zr Ta
2 1 1
Direct
0.000 0.000 0.054
0.500 0.500 0.205
0.500 0.500 0.788
0.000 0.000 0.453
```

Calculated values
**Crystal system**: tetragonal
**Density**: 10.19 g/cm³
**Final energy**: -9.59 eV/atom
**DFT formation energy**: 94 meV/atom